# 1
Entry from Alexandria via LeMat-Bulk: a geometry-optimized CoAuF6 structure (GGA+U).

Geometry as POSCAR:
```
CoAuF6
1.0
-3.026 1.510 4.553
3.325 -2.255 3.198
4.144 2.528 1.676
F Au Co
6 1 1
Cartesian
1.507 0.213 6.184
1.018 2.879 4.500
-1.036 0.428 4.188
1.645 -1.161 3.766
3.244 1.581 3.445
0.410 1.169 1.932
0.155 0.006 0.101
-1.358 0.761 2.378
```

Calculated values
SG	C2/m
total magnetization	2.00	μB/f.u.
total energy	-29.227	eV/cell

# 2
Entry from Alexandria via LeMat-Bulk: a geometry-optimized PmMnIn2O6 structure (GGA+U).

Geometry as POSCAR:
```
PmMnIn2O6
1.0
5.562 0.122 -0.073
2.888 4.949 -0.156
2.753 1.569 4.884
O In Mn Pm
6 2 1 1
Cartesian
7.611 3.406 1.008
4.599 1.579 1.106
6.420 2.035 3.685
6.300 4.780 3.440
4.037 3.159 3.757
4.530 4.930 1.043
5.635 3.315 1.897
2.800 1.585 4.614
2.830 1.711 0.135
8.436 5.007 2.741
```

Calculated values
SG	P1
total magnetization	4.00	μB/f.u.
total energy	-66.978	eV/cell